Compound: NdFePd
Source: OQMD
Functional: PBE-GGA
Structure: optimized geometry

Calculated values
Size of the total moment: 0.9135 μB per atom
E: -0.22070 Ha/atom
ΔE_f: 0.077 eV/atom

a = 4.6579 Å, b = 4.6579 Å, c = 4.6579 Å
α = 60.00°, β = 60.00°, γ = 60.00°
Fractional positions:
Fe 0.2500 0.2500 0.2500
Nd 0.7500 0.7500 0.7500
Pd 0.0000 0.0000 0.0000